LiSmTeO | PBE-GGA | optimized geometry

The structure in POSCAR format:
```
LiSmTeO
1.0
-3.581 5.260 0.743
-1.338 0.154 -7.534
-4.682 -4.611 0.737
Te Li Sm O
4 4 4 4
Direct
0.860 0.950 0.213
0.140 0.050 0.787
0.860 0.550 0.713
0.140 0.450 0.287
0.852 0.230 0.520
0.852 0.270 0.020
0.148 0.770 0.480
0.148 0.730 0.980
0.593 0.610 0.228
0.407 0.390 0.772
0.593 0.890 0.728
0.407 0.110 0.272
0.573 0.326 0.090
0.573 0.174 0.590
0.427 0.826 0.410
0.427 0.674 0.910
```

Results
M_tot = 0.00 μB per atom
Mass density = 6.25 g/cm3
Excess energy over the best structure of this formula in the dataset = 141 meV/atom